Entry from Alexandria via LeMat-Bulk: an optimized crystal structure of K2TlGaBr6 (PBE).

## Properties
The energy relative to the elements, uncorrected comes out at -1.1110 eV per atom.

Cell and atoms, written as extended XYZ:
```
10
Lattice="-5.362 -5.163 3.038 -1.332 -0.212 7.926 -6.954 2.718 2.981" Properties=species:S:1:pos:R:3 pbc="T T T"
K -10.236 -1.993 10.459
K -3.412 -0.664 3.486
Tl -6.824 -1.329 6.973
Ga 0.000 0.000 0.000
Br -3.817 -0.717 7.494
Br -6.024 -3.428 4.818
Br -9.832 -1.940 6.451
Br -6.895 0.887 4.787
Br -6.753 -3.544 9.158
Br -7.625 0.771 9.127
```


Entry from Alexandria via LeMat-Bulk: an optimized crystal structure of Ba2InNiPt (PBE).

## Properties
Its formation energy is 0.33 eV/atom.

Cell and atoms, written as extended XYZ:
```
5
Lattice="6.370 0.000 0.000 0.000 4.664 0.000 0.000 0.000 6.370" Properties=species:S:1:pos:R:3 pbc="T T T"
Ni 0.000 2.332 0.000
Ba 0.000 0.000 3.185
Ba 3.185 0.000 0.000
Pt 3.185 2.332 3.185
In 0.000 0.000 0.000
```


Entry from Alexandria via LeMat-Bulk: an optimized crystal structure of YTl3Ag (PBE).

## Properties
Its formation energy is 0.68 eV/atom. Its excess energy over the best structure of this formula in the dataset is 387 meV/atom.

Cell and atoms, written as extended XYZ:
```
5
Lattice="-3.471 -3.667 -3.089 3.974 -0.066 -4.387 2.683 -4.646 2.501" Properties=species:S:1:pos:R:3 pbc="T T T"
Y 0.000 0.000 0.000
Tl 1.987 -0.033 -2.193
Tl 1.342 -2.323 1.250
Tl -1.736 -1.834 -1.545
Ag 1.593 -4.190 -2.488
```


Entry from Alexandria via LeMat-Bulk: an optimized crystal structure of MgTaCo3 (PBE).

## Properties
Its formation energy is 1.22 eV/atom.

Cell and atoms, written as extended XYZ:
```
5
Lattice="4.142 0.000 0.000 0.000 4.142 0.000 0.000 0.000 4.142" Properties=species:S:1:pos:R:3 pbc="T T T"
Mg 0.000 0.000 0.000
Co 0.000 2.071 0.000
Co 0.000 0.000 2.071
Co 2.071 0.000 0.000
Ta 2.071 2.071 2.071
```


Q: Which total energy values were calculated for the entries above? A: -2.874, -3.353, -2.598, -5.735, in eV/atom.
Q: Which density of states at the Fermi level values were calculated for the entries above? A: 0.00, 2.82, 6.20, 0.23, in states/eV/cell.